(w)
A plane-wave DFT calculation with PBE was carried out for a geometry-optimized Tl2Mo structure.

a b c (Å): 3.1867 3.1867 7.6066
angles (deg): 90.00 90.00 120.00
Last column: nearest neighbours and their distance in Å.
Positions (direct):
1 Tl 0.3333 0.6667 0.3110  3 Mo 3.00, 6 Tl 3.19
2 Tl 0.6667 0.3333 0.6890  3 Mo 3.00, 6 Tl 3.19
3 Mo 0.0000 0.0000 0.0000  6 Tl 3.00, 6 Mo 3.19

Summary:
The value obtained for the density of states at the Fermi level is 0.90 states/eV/atom. As for the crystal system: trigonal.

(x)
A plane-wave DFT calculation with PBE was carried out for a geometry-optimized Tl2Mo structure.

a b c (Å): 5.0152 5.0152 3.0325
angles (deg): 90.00 90.00 120.00
Last column: nearest neighbours and their distance in Å.
Positions (direct):
1 Tl 0.3333 0.6667 0.2022  5 Tl 3.03-3.14, 3 Mo 3.03
2 Tl 0.6667 0.3333 0.7978  5 Tl 3.03-3.14, 3 Mo 3.03
3 Mo 0.0000 0.0000 0.5000  2 Mo 3.03, 6 Tl 3.03

Summary:
The value obtained for the density of states at the Fermi level is 1.07 states/eV/atom. As for the crystal system: trigonal.

(y)
A plane-wave DFT calculation with PBE was carried out for a geometry-optimized Tl2Mo structure.

a b c (Å): 5.0108 5.0108 2.9744
angles (deg): 90.00 90.00 90.00
Last column: nearest neighbours and their distance in Å.
Positions (direct):
1 Tl 0.0000 0.5000 0.0000  4 Mo 2.91, 2 Tl 2.97
2 Tl 0.5000 0.0000 0.0000  4 Mo 2.91, 2 Tl 2.97
3 Mo 0.0000 0.0000 0.5000  8 Tl 2.91, 2 Mo 2.97

Summary:
The value obtained for the density of states at the Fermi level is 0.61 states/eV/atom. As for the crystal system: tetragonal.

(z)
A plane-wave DFT calculation with PBE was carried out for a geometry-optimized Tl2Mo structure.

a b c (Å): 11.3353 11.3353 4.5666
angles (deg): 90.00 90.00 164.96
Last column: nearest neighbours and their distance in Å.
Positions (direct):
1 Tl 0.0893 0.9107 0.7500  4 Tl 2.97-3.17, 6 Mo 3.02-3.08
2 Tl 0.1873 0.8127 0.2500  4 Tl 2.97-3.17
3 Tl 0.8127 0.1873 0.7500  4 Tl 2.97-3.17
4 Tl 0.9107 0.0893 0.2500  4 Tl 2.97-3.17, 6 Mo 3.02-3.08
5 Mo 0.4692 0.5308 0.7500  4 Mo 2.67-2.97
6 Mo 0.5308 0.4692 0.2500  4 Mo 2.67-2.97

Summary:
The value obtained for the density of states at the Fermi level is 0.40 states/eV/atom. As for the crystal system: orthorhombic.

Which structure is most stable, and how do the rest compare? From most to least stable: (z), (y), (w), (x).

(w)
A plane-wave DFT calculation with PBE was carried out for a geometry-optimized Tl2Mo structure.

a b c (Å): 8.1405 8.1405 8.1405
angles (deg): 158.20 133.06 52.32
Last column: nearest neighbours and their distance in Å.
Positions (direct):
1 Tl 0.1168 0.1168 0.0000  7 Tl 3.08-3.43, 4 Mo 3.12
2 Tl 0.3265 0.8265 0.5000  6 Tl 3.08-3.43, 4 Mo 3.17
3 Tl 0.6735 0.1735 0.5000  6 Tl 3.08-3.43, 4 Mo 3.17
4 Tl 0.8832 0.8832 0.0000  7 Tl 3.08-3.43, 4 Mo 3.12
5 Mo 0.3252 0.5000 0.8252  1 Mo 2.27
6 Mo 0.6748 0.5000 0.1748  1 Mo 2.27

Summary:
The value obtained for the density of states at the Fermi level is 0.63 states/eV/atom. As for the crystal system: orthorhombic.

(x)
A plane-wave DFT calculation with PBE was carried out for a geometry-optimized Tl2Mo structure.

a b c (Å): 5.6264 5.6264 10.9516
angles (deg): 90.00 90.00 120.00
Last column: nearest neighbours and their distance in Å.
Positions (direct):
1 Tl 0.0000 0.0000 0.0000  6 Tl 3.19, 6 Mo 3.25
2 Tl 0.0000 0.0000 0.5000  6 Tl 3.19, 6 Mo 3.25
3 Tl 0.1684 0.3367 0.2500  4 Tl 2.78-2.84, 2 Mo 3.03
4 Tl 0.1684 0.8316 0.2500  4 Tl 2.78-2.84, 2 Mo 3.03
5 Tl 0.3367 0.1684 0.7500  4 Tl 2.78-2.84, 2 Mo 3.03
6 Tl 0.6633 0.8316 0.2500  4 Tl 2.78-2.84, 2 Mo 3.03
7 Tl 0.8316 0.1684 0.7500  4 Tl 2.78-2.84, 2 Mo 3.03
8 Tl 0.8316 0.6633 0.7500  4 Tl 2.78-2.84, 2 Mo 3.03
9 Mo 0.3333 0.6667 0.0153  6 Tl 3.03-3.25, 3 Mo 3.27
10 Mo 0.3333 0.6667 0.4847  6 Tl 3.03-3.25, 3 Mo 3.27
11 Mo 0.6667 0.3333 0.5153  6 Tl 3.03-3.25, 3 Mo 3.27
12 Mo 0.6667 0.3333 0.9847  6 Tl 3.03-3.25, 3 Mo 3.27

Summary:
The value obtained for the density of states at the Fermi level is 0.63 states/eV/atom. As for the crystal system: hexagonal.

Which structure is most stable, and how do the rest compare? From most to least stable: (w), (x).

(w)
A plane-wave DFT calculation with PBE was carried out for a geometry-optimized Tl2Mo structure.

a b c (Å): 5.7352 5.7352 5.7352
angles (deg): 104.70 104.70 119.50
Last column: nearest neighbours and their distance in Å.
Positions (direct):
1 Tl 0.1942 0.6942 0.8884  4 Mo 2.92, 2 Tl 3.09
2 Tl 0.3058 0.1942 0.5000  4 Mo 2.92, 2 Tl 3.09
3 Tl 0.6942 0.8058 0.5000  4 Mo 2.92, 2 Tl 3.09
4 Tl 0.8058 0.3058 0.1116  4 Mo 2.92, 2 Tl 3.09
5 Mo 0.2500 0.2500 0.0000  2 Mo 2.89, 8 Tl 2.92
6 Mo 0.7500 0.7500 0.0000  2 Mo 2.89, 8 Tl 2.92

Summary:
The value obtained for the density of states at the Fermi level is 0.36 states/eV/atom. As for the crystal system: tetragonal.

(x)
A plane-wave DFT calculation with PBE was carried out for a geometry-optimized Tl2Mo structure.

a b c (Å): 8.4803 8.4803 5.0459
angles (deg): 90.00 90.00 158.09
Last column: nearest neighbours and their distance in Å.
Positions (direct):
1 Tl 0.0617 0.9383 0.7500  2 Mo 3.11, 8 Tl 3.22-3.25
2 Tl 0.3654 0.6346 0.7500  4 Mo 2.89-2.91, 6 Tl 3.22-3.23
3 Tl 0.6346 0.3654 0.2500  4 Mo 2.89-2.91, 6 Tl 3.22-3.23
4 Tl 0.9383 0.0617 0.2500  2 Mo 3.11, 8 Tl 3.22-3.25
5 Mo 0.2786 0.7214 0.2500  6 Tl 2.89-3.11, 6 Mo 3.14-3.22
6 Mo 0.7214 0.2786 0.7500  6 Tl 2.89-3.11, 6 Mo 3.14-3.22

Summary:
The value obtained for the density of states at the Fermi level is 0.83 states/eV/atom. As for the crystal system: orthorhombic.

(y)
A plane-wave DFT calculation with PBE was carried out for a geometry-optimized Tl2Mo structure.

a b c (Å): 5.1467 5.1467 6.2325
angles (deg): 90.00 90.00 120.00
Last column: nearest neighbours and their distance in Å.
Positions (direct):
1 Tl 0.0000 0.0000 0.0000  8 Tl 3.12-3.36, 6 Mo 3.36
2 Tl 0.0000 0.0000 0.5000  8 Tl 3.12-3.36, 6 Mo 3.36
3 Tl 0.3333 0.6667 0.2500  5 Mo 2.97-3.12
4 Tl 0.6667 0.3333 0.7500  5 Mo 2.97-3.12
5 Mo 0.3333 0.6667 0.7500  5 Tl 2.97-3.12
6 Mo 0.6667 0.3333 0.2500  5 Tl 2.97-3.12

Summary:
The value obtained for the density of states at the Fermi level is 0.86 states/eV/atom. As for the crystal system: hexagonal.

Which structure is most stable, and how do the rest compare? From most to least stable: (w), (x), (y).